[1]
CaCoOs2 | PBE | relaxed

DFT formation energy in eV per atom: 0.599
Distance to the lowest polymorph of the same formula in eV per atom: 0.2491
Calculated volume in Å³/atom: 15.8

```
CaCoOs2
1.0
2.7882 0.0000 0.0000
0.0000 4.6369 0.0000
-0.7556 0.0000 4.8884
Ca Co Os
1 1 2
Direct
0.0000 0.0000 0.0000
0.5000 0.0000 0.5000
0.3171 0.5000 0.7286
0.6829 0.5000 0.2714
```

***

[2]
MgAs2Cl8 | PBE | relaxed

Formation energy without anion corrections in eV/atom: -0.93
Calculated volume in Å³/atom: 36.8

```
MgAs2Cl8
1.0
6.8043 -3.7764 0.0000
6.8043 3.7764 0.0000
-0.3187 0.0000 7.8767
Mg As Cl
1 2 8
Direct
0.0000 0.0000 0.0000
0.1370 0.1370 0.3490
0.8630 0.8630 0.6510
0.0742 0.0742 0.7361
0.0868 0.6485 0.8502
0.2987 0.2987 0.4001
0.3515 0.9132 0.1498
0.6485 0.0868 0.8502
0.7013 0.7013 0.5999
0.9132 0.3515 0.1498
0.9258 0.9258 0.2639
```

***

[3]
Li2NdMg | PBE | relaxed

DFT formation energy in eV per atom: 0.095
Distance to the lowest polymorph of the same formula in eV per atom: 0.0635
Calculated volume in Å³/atom: 24.1

```
Li2NdMg
1.0
5.3301 0.0000 0.0000
0.0000 5.3301 0.0000
0.0000 0.0000 3.3914
Li Nd Mg
2 1 1
Direct
0.0000 0.5000 0.0000
0.5000 0.0000 0.0000
0.0000 0.0000 0.5000
0.5000 0.5000 0.5000
```

***

[4]
MnAgC2 | PBE | relaxed

DFT formation energy in eV per atom: 2.069
Distance to the lowest polymorph of the same formula in eV per atom: 1.0029
Calculated volume in Å³/atom: 9.9

```
MnAgC2
1.0
5.4137 0.0000 0.0000
0.0000 5.4137 0.0000
0.0000 0.0000 5.4137
Mn Ag C
4 4 8
Direct
0.0000 0.0000 0.0000
0.0000 0.5000 0.5000
0.5000 0.0000 0.5000
0.5000 0.5000 0.0000
0.0000 0.0000 0.5000
0.0000 0.5000 0.0000
0.5000 0.0000 0.0000
0.5000 0.5000 0.5000
0.2500 0.2500 0.2500
0.2500 0.2500 0.7500
0.2500 0.7500 0.2500
0.2500 0.7500 0.7500
0.7500 0.2500 0.2500
0.7500 0.2500 0.7500
0.7500 0.7500 0.2500
0.7500 0.7500 0.7500
```

***

[5]
CaNb3Cl | PBE | relaxed

Formation energy without anion corrections in eV/atom: 0.58
Distance to the lowest polymorph of the same formula in eV per atom: 0.0000
Calculated volume in Å³/atom: 20.9

```
CaNb3Cl
1.0
4.7107 0.0000 0.0000
0.0000 4.7107 0.0000
0.0000 0.0000 4.7107
Ca Nb Cl
1 3 1
Direct
0.0000 0.0000 0.0000
0.0000 0.5000 0.5000
0.5000 0.0000 0.5000
0.5000 0.5000 0.0000
0.5000 0.5000 0.5000
```

***

[6]
SrMo2C | PBE | relaxed

DFT formation energy in eV per atom: 0.743
Calculated volume in Å³/atom: 22.7

```
SrMo2C
1.0
0.0000 4.4916 4.4916
4.4916 0.0000 4.4916
4.4916 4.4916 0.0000
Sr Mo C
2 4 2
Direct
0.1250 0.1250 0.1250
0.8750 0.8750 0.8750
0.0000 0.5000 0.5000
0.5000 0.0000 0.5000
0.5000 0.5000 0.0000
0.5000 0.5000 0.5000
0.3750 0.3750 0.3750
0.6250 0.6250 0.6250
```

***

[7]
Pm3RhPb | PBE | relaxed

DFT formation energy in eV per atom: -0.390
Distance to the lowest polymorph of the same formula in eV per atom: 0.2127
Calculated volume in Å³/atom: 27.2

```
Pm3RhPb
1.0
7.4208 0.0000 0.0000
0.0000 7.4208 0.0000
0.0000 0.0000 7.4208
Pm Rh Pb
9 3 3
Direct
0.0000 0.0000 0.0000
0.2711 0.2711 0.2711
0.2711 0.2711 0.7289
0.2711 0.7289 0.2711
0.2711 0.7289 0.7289
0.7289 0.2711 0.2711
0.7289 0.2711 0.7289
0.7289 0.7289 0.2711
0.7289 0.7289 0.7289
0.0000 0.5000 0.5000
0.5000 0.0000 0.5000
0.5000 0.5000 0.0000
0.0000 0.0000 0.5000
0.0000 0.5000 0.0000
0.5000 0.0000 0.0000
```

***

[8]
TbCeYIn | PBE | relaxed

DFT formation energy in eV per atom: -0.080
Calculated volume in Å³/atom: 28.1

```
TbCeYIn
1.0
7.6583 0.0000 0.0000
0.0000 7.6583 0.0000
0.0000 0.0000 7.6583
Tb Ce Y In
4 4 4 4
Direct
0.0000 0.0000 0.0000
0.0000 0.5000 0.5000
0.5000 0.0000 0.5000
0.5000 0.5000 0.0000
0.2500 0.2500 0.2500
0.2500 0.7500 0.7500
0.7500 0.2500 0.7500
0.7500 0.7500 0.2500
0.0000 0.0000 0.5000
0.0000 0.5000 0.0000
0.5000 0.0000 0.0000
0.5000 0.5000 0.5000
0.2500 0.2500 0.7500
0.2500 0.7500 0.2500
0.7500 0.2500 0.2500
0.7500 0.7500 0.7500
```

***

[9]
Na3TaS4 | PBE | relaxed

Formation energy without anion corrections in eV/atom: -1.12
Calculated volume in Å³/atom: 28.8

```
Na3TaS4
1.0
6.2254 0.0000 0.0000
0.0000 6.2254 0.0000
0.0000 0.0000 11.9059
Na Ta S
6 2 8
Direct
0.0000 0.0000 0.0000
0.0000 0.5000 0.2500
0.0000 0.5000 0.7500
0.5000 0.0000 0.2500
0.5000 0.0000 0.7500
0.5000 0.5000 0.5000
0.0000 0.0000 0.5000
0.5000 0.5000 0.0000
0.2135 0.2135 0.3900
0.2135 0.7865 0.6100
0.2865 0.2865 0.8900
0.2865 0.7135 0.1100
0.7135 0.2865 0.1100
0.7135 0.7135 0.8900
0.7865 0.2135 0.6100
0.7865 0.7865 0.3900
```

***

[10]
ThBP | PBE | relaxed

DFT formation energy in eV per atom: -0.364
Distance to the lowest polymorph of the same formula in eV per atom: 0.4682
Calculated volume in Å³/atom: 19.1

```
ThBP
1.0
9.4776 0.0000 0.0000
0.0000 3.5584 0.0000
-2.3616 0.0000 6.7927
Th B P
4 4 4
Direct
0.0881 0.0000 0.2487
0.4119 0.5000 0.7513
0.5881 0.5000 0.2487
0.9119 0.0000 0.7513
0.2494 0.0000 0.9539
0.2506 0.5000 0.0461
0.7494 0.5000 0.9539
0.7506 0.0000 0.0461
0.1740 0.0000 0.6594
0.3260 0.5000 0.3406
0.6740 0.5000 0.6594
0.8260 0.0000 0.3406
```

***

[11]
Y2TaSb | PBE | relaxed

Formation energy without anion corrections in eV/atom: 0.08
Calculated volume in Å³/atom: 27.3

```
Y2TaSb
1.0
3.6158 0.0000 0.0000
-1.8079 3.1314 0.0000
0.0000 0.0000 28.9275
Y Ta Sb
6 3 3
Direct
0.0000 0.0000 0.0000
0.0000 0.0000 0.2264
0.3333 0.6667 0.6667
0.3333 0.6667 0.8931
0.6667 0.3333 0.3333
0.6667 0.3333 0.5597
0.0000 0.0000 0.7489
0.3333 0.6667 0.4156
0.6667 0.3333 0.0823
0.0000 0.0000 0.4797
0.3333 0.6667 0.1463
0.6667 0.3333 0.8130
```